First-principles (PBE) data for a relaxed structure of Ac2AgS2O2, as listed in the Alexandria database.

## Properties
- DOS(E_F): 5.116 states/eV/f.u.
- Space group: P-3m1, No. 164

Cell: 4.2645 4.2645 11.5272 Å, 90.00 90.00 120.00°
With the nearest neighbours (Å) after each atom.
Sites, in units of the cell vectors:
Ac (0.3333, 0.6667, 0.1375)  4 O 2.49-2.55
Ac (0.6667, 0.3333, 0.8625)  4 O 2.49-2.55
Ag (0.0000, 0.0000, 0.5000)  2 S 2.31
S (0.0000, 0.0000, 0.2998)  1 Ag 2.31
S (0.0000, 0.0000, 0.7002)  1 Ag 2.31
O (0.3333, 0.6667, 0.9216)  4 Ac 2.49-2.55
O (0.6667, 0.3333, 0.0784)  4 Ac 2.49-2.55



First-principles (PBE) data for a relaxed structure of AcAgSO4, as listed in the Alexandria database.

## Properties
- DOS(E_F): 0.000 states/eV/f.u.
- Space group: Imma, No. 74

Cell: 6.9068 6.9068 6.9068 Å, 114.60 109.57 104.40°
With the nearest neighbours (Å) after each atom.
Sites, in units of the cell vectors:
Ac (0.0000, 0.0000, 0.0000)  6 O 2.50-2.73
Ac (0.5000, 0.0000, 0.5000)  6 O 2.50-2.73
Ag (0.5000, 0.0000, 0.0000)  2 O 2.06
Ag (0.5000, 0.5000, 0.5000)  2 O 2.06
S (0.1613, 0.4113, 0.7500)  2 O 1.49
S (0.8387, 0.5887, 0.2500)  2 O 1.49
O (0.0937, 0.6903, 0.4034)  1 S 1.49
O (0.2131, 0.3097, 0.9034)  1 S 1.49
O (0.2603, 0.2117, 0.4514)  1 Ag 2.06
O (0.2603, 0.8089, 0.0486)  1 Ag 2.06
O (0.7397, 0.1911, 0.9514)  1 Ag 2.06
O (0.7397, 0.7883, 0.5486)  1 Ag 2.06
O (0.7869, 0.6903, 0.0966)  1 S 1.49
O (0.9063, 0.3097, 0.5966)  1 S 1.49



First-principles (PBE) data for a relaxed structure of Ac3Sc2AgO9, as listed in the Alexandria database.

## Properties
- Space group: P-3m1, No. 164

Cell: 5.8600 5.8600 7.1776 Å, 90.00 90.00 120.00°
With the nearest neighbours (Å) after each atom.
Sites, in units of the cell vectors:
Ac (0.0000, 0.0000, 0.0000)  12 O 2.93-2.95
Ac (0.3333, 0.6667, 0.6532)  12 O 2.83-3.01
Ac (0.6667, 0.3333, 0.3468)  12 O 2.83-3.01
Sc (0.3333, 0.6667, 0.1593)  6 O 2.04-2.06
Sc (0.6667, 0.3333, 0.8407)  6 O 2.04-2.06
Ag (0.0000, 0.0000, 0.5000)  6 O 2.12
O (0.0000, 0.5000, 0.0000)  2 Sc 2.04
O (0.1713, 0.3426, 0.3315)  1 Sc 2.06, 1 Ag 2.12
O (0.1713, 0.8287, 0.3315)  1 Sc 2.06, 1 Ag 2.12
O (0.3426, 0.1713, 0.6685)  1 Sc 2.06, 1 Ag 2.12
O (0.5000, 0.0000, 0.0000)  2 Sc 2.04
O (0.5000, 0.5000, 0.0000)  2 Sc 2.04
O (0.6574, 0.8287, 0.3315)  1 Sc 2.06, 1 Ag 2.12
O (0.8287, 0.1713, 0.6685)  1 Sc 2.06, 1 Ag 2.12
O (0.8287, 0.6574, 0.6685)  1 Sc 2.06, 1 Ag 2.12



First-principles (PBE) data for a relaxed structure of AcAgSeO6, as listed in the Alexandria database.

## Properties
- Space group: P1, No. 1

Cell: 5.1998 5.2726 5.2773 Å, 115.42 91.45 91.50°
With the nearest neighbours (Å) after each atom.
Sites, in units of the cell vectors:
Ac (0.0000, 0.0000, 0.0000)  6 O 2.47-2.58
Ag (0.4999, 0.3245, 0.6758)  4 O 2.05-2.09
Se (0.4996, 0.6631, 0.3364)  6 O 1.75-1.89
O (0.2724, 0.6640, 0.0859)  1 Se 1.75
O (0.2896, 0.3899, 0.3770)  1 Se 1.87, 1 Ag 2.05
O (0.3211, 0.9446, 0.6251)  1 Se 1.89, 1 Ag 2.09
O (0.6782, 0.3743, 0.0549)  1 Se 1.89, 1 Ag 2.09
O (0.7104, 0.6234, 0.6091)  1 Se 1.87, 1 Ag 2.05
O (0.7257, 0.9141, 0.3339)  1 Se 1.75



First-principles (PBE) data for a relaxed structure of AcAgSeO, as listed in the Alexandria database.

## Properties
- Space group: P4/nmm, No. 129

Cell: 4.2666 4.2666 9.5235 Å, 90.00 90.00 90.00°
With the nearest neighbours (Å) after each atom.
Sites, in units of the cell vectors:
Ac (0.2500, 0.2500, 0.1338)  4 O 2.48
Ac (0.7500, 0.7500, 0.8662)  4 O 2.48
Ag (0.2500, 0.7500, 0.5000)  4 Se 2.79, 4 Ag 3.02
Ag (0.7500, 0.2500, 0.5000)  4 Se 2.79, 4 Ag 3.02
Se (0.2500, 0.2500, 0.6891)  4 Ag 2.79
Se (0.7500, 0.7500, 0.3109)  4 Ag 2.79
O (0.2500, 0.7500, 0.0000)  4 Ac 2.48
O (0.7500, 0.2500, 0.0000)  4 Ac 2.48



First-principles (PBE) data for a relaxed structure of AcAgSe2O6, as listed in the Alexandria database.

## Properties
- DOS(E_F): 0.000 states/eV/f.u.
- Space group: R-3, No. 148

Cell: 7.1775 7.1775 7.1775 Å, 45.62 45.62 45.62°
With the nearest neighbours (Å) after each atom.
Sites, in units of the cell vectors:
Ac (0.0000, 0.0000, 0.0000)  6 O 2.54
Ag (0.5000, 0.5000, 0.5000)  6 O 2.61
Se (0.2154, 0.2154, 0.2154)  3 O 1.73
Se (0.7846, 0.7846, 0.7846)  3 O 1.73
O (0.0293, 0.4664, 0.7422)  1 Se 1.73
O (0.2578, 0.9707, 0.5336)  1 Se 1.73
O (0.4664, 0.7422, 0.0293)  1 Se 1.73
O (0.5336, 0.2578, 0.9707)  1 Se 1.73
O (0.7422, 0.0293, 0.4664)  1 Se 1.73
O (0.9707, 0.5336, 0.2578)  1 Se 1.73



First-principles (PBE) data for a relaxed structure of Ac2AgSe2O2, as listed in the Alexandria database.

## Properties
- DOS(E_F): 5.613 states/eV/f.u.
- Space group: P-3m1, No. 164

Cell: 4.2338 4.2338 12.3063 Å, 90.00 90.00 120.00°
With the nearest neighbours (Å) after each atom.
Sites, in units of the cell vectors:
Ac (0.3333, 0.6667, 0.1298)  4 O 2.53
Ac (0.6667, 0.3333, 0.8702)  4 O 2.53
Ag (0.0000, 0.0000, 0.5000)  2 Se 2.44
Se (0.0000, 0.0000, 0.3020)  1 Ag 2.44
Se (0.0000, 0.0000, 0.6980)  1 Ag 2.44
O (0.3333, 0.6667, 0.9246)  4 Ac 2.53
O (0.6667, 0.3333, 0.0754)  4 Ac 2.53



First-principles (PBE) data for a relaxed structure of AcAg2SeO8, as listed in the Alexandria database.

## Properties
- DOS(E_F): 8.937 states/eV/f.u.
- Space group: P-3m1, No. 164

Cell: 5.1720 5.1720 6.8441 Å, 90.00 90.00 120.00°
With the nearest neighbours (Å) after each atom.
Sites, in units of the cell vectors:
Ac (0.0000, 0.0000, 0.0000)  12 O 2.73-3.00
Ag (0.3333, 0.6667, 0.3527)  1 O 2.08
Ag (0.6667, 0.3333, 0.6473)  1 O 2.08
Se (0.0000, 0.0000, 0.5000)  6 O 1.80
O (0.1601, 0.3201, 0.6598)  1 Se 1.80
O (0.1601, 0.8399, 0.6598)  1 Se 1.80
O (0.3201, 0.1601, 0.3402)  1 Se 1.80
O (0.3333, 0.6667, 0.0485)  1 Ag 2.08
O (0.6667, 0.3333, 0.9515)  1 Ag 2.08
O (0.6799, 0.8399, 0.6598)  1 Se 1.80
O (0.8399, 0.1601, 0.3402)  1 Se 1.80
O (0.8399, 0.6799, 0.3402)  1 Se 1.80



First-principles (PBE) data for a relaxed structure of AcAg2SeO4, as listed in the Alexandria database.

## Properties
- DOS(E_F): 4.239 states/eV/f.u.
- Space group: I-4, No. 82

Cell: 5.4204 5.4204 5.4204 Å, 112.05 112.05 104.43°
With the nearest neighbours (Å) after each atom.
Sites, in units of the cell vectors:
Ac (0.0000, 0.0000, 0.0000)  8 O 2.61-2.84
Ag (0.2500, 0.7500, 0.5000)  4 O 2.29
Ag (0.5000, 0.5000, 0.0000)  4 O 2.44
Se (0.7500, 0.2500, 0.5000)  4 O 2.03
O (0.0330, 0.4756, 0.9697)  1 Se 2.03
O (0.5059, 0.0633, 0.0303)  1 Se 2.03
O (0.5244, 0.4941, 0.5574)  1 Se 2.03
O (0.9367, 0.9670, 0.4426)  1 Se 2.03



First-principles (PBE) data for a relaxed structure of AcAg2SeO2, as listed in the Alexandria database.

## Properties
- DOS(E_F): 4.111 states/eV/f.u.
- Space group: P2_1/m, No. 11

Cell: 6.6834 5.2975 7.5459 Å, 90.00 113.20 90.00°
With the nearest neighbours (Å) after each atom.
Sites, in units of the cell vectors:
Ac (0.1640, 0.2500, 0.4255)  4 O 2.40
Ac (0.8360, 0.7500, 0.5745)  4 O 2.40
Ag (0.0942, 0.2500, 0.9115)  2 O 2.31
Ag (0.4480, 0.7500, 0.8167)  2 O 2.21
Ag (0.5520, 0.2500, 0.1833)  2 O 2.21
Ag (0.9058, 0.7500, 0.0885)  2 O 2.31
Se (0.3272, 0.7500, 0.1744)  1 Ag 2.63
Se (0.6728, 0.2500, 0.8256)  1 Ag 2.63
O (0.1624, 0.0003, 0.6903)  2 Ag 2.21-2.31, 2 Ac 2.40
O (0.1624, 0.4997, 0.6903)  2 Ag 2.21-2.31, 2 Ac 2.40
O (0.8376, 0.9997, 0.3097)  2 Ag 2.21-2.31, 2 Ac 2.40
O (0.8376, 0.5003, 0.3097)  2 Ag 2.21-2.31, 2 Ac 2.40



First-principles (PBE) data for a relaxed structure of AcSiAg2O4, as listed in the Alexandria database.

## Properties
- DOS(E_F): 1.122 states/eV/f.u.
- Space group: I-4, No. 82

Cell: 6.1032 6.1032 6.1032 Å, 127.48 127.48 77.47°
With the nearest neighbours (Å) after each atom.
Sites, in units of the cell vectors:
Ac (0.0000, 0.0000, 0.0000)  4 O 2.41
Si (0.7500, 0.2500, 0.5000)  4 O 1.66
Ag (0.2500, 0.7500, 0.5000)  4 O 2.65
Ag (0.5000, 0.5000, 0.0000)  4 O 2.47
O (0.0224, 0.1695, 0.4888)  1 Si 1.66
O (0.4664, 0.9776, 0.1471)  1 Si 1.66
O (0.6807, 0.5336, 0.5112)  1 Si 1.66
O (0.8305, 0.3193, 0.8529)  1 Si 1.66



First-principles (PBE) data for a relaxed structure of AcSiAgO4, as listed in the Alexandria database.

## Properties
- DOS(E_F): 0.000 states/eV/f.u.
- Space group: Imma, No. 74

Cell: 6.6434 6.6434 6.6434 Å, 127.47 101.56 101.03°
With the nearest neighbours (Å) after each atom.
Sites, in units of the cell vectors:
Ac (0.0000, 0.0000, 0.0000)  6 O 2.53-2.61
Ac (0.5000, 0.0000, 0.5000)  6 O 2.53-2.61
Si (0.3648, 0.6148, 0.7500)  4 O 1.63-1.71
Si (0.6352, 0.3852, 0.2500)  4 O 1.63-1.71
Ag (0.0000, 0.0000, 0.5000)  2 O 2.08
Ag (0.0000, 0.5000, 0.0000)  2 O 2.08
O (0.2465, 0.2608, 0.5143)  1 Si 1.71
O (0.2465, 0.7322, 0.9857)  1 Si 1.71
O (0.2951, 0.7123, 0.5828)  1 Si 1.63
O (0.3705, 0.2877, 0.0828)  1 Si 1.63
O (0.6295, 0.7123, 0.9172)  1 Si 1.63
O (0.7049, 0.2877, 0.4172)  1 Si 1.63
O (0.7535, 0.2678, 0.0143)  1 Si 1.71
O (0.7535, 0.7392, 0.4857)  1 Si 1.71



Computed calculated total energy, in the same sequence as the records: -6.19, -6.03, -7.57, -5.68, -5.84, -5.80, -5.98, -4.94, -5.23, -4.95, -6.24, -6.98 eV/atom.